## HgSb2Pb (GGA-PBEsol)

Data for a relaxed HgSb2Pb crystal.

Cell lengths 3.895, 3.895, 7.086 Å; angles 90.00, 90.00, 90.00 degrees
Space group P4mm (No. 99)
Inequivalent atoms, fractional coordinates:
1 Hg 0.000 0.000 0.000
2 Sb 0.000 0.000 0.532
3 Sb 0.500 0.500 0.728
4 Pb 0.500 0.500 0.236

## Properties
Energy ... -13.411 eV/f.u.
Polymorph energy (0 for the lowest one) ... 0 meV per atom
Uncorrected formation energy ... 0.067 eV per atom
Magnetic moment ... 0.00 μB/f.u.